Entry A
The following is a DFT calculation (SCAN) of a crystal of ZrSc2Ir relaxed with PBEsol.

abc: 5.6907 5.6907 5.6907
angles: 145.63 130.61 61.55
Element x y z (fractional)
Zr 0.0000 0.0000 0.0000
Sc 0.4262 0.4262 0.0000
Sc 0.7148 0.2148 0.5000
Ir 0.2117 0.7117 0.5000

Values from the calculation:
Volume, Å³ per cell: 78.2
Crystal system: orthorhombic
Total moment, Bohr magnetons per cell: 0.0

Entry B
The following is a DFT calculation (SCAN) of a crystal of ZrSc2Ir relaxed with PBEsol.

abc: 4.7105 4.7105 4.7105
angles: 60.00 60.00 60.00
Element x y z (fractional)
Zr 0.0000 0.0000 0.0000
Sc 0.2500 0.2500 0.2500
Sc 0.5000 0.5000 0.5000
Ir 0.7500 0.7500 0.7500

Values from the calculation:
Volume, Å³ per cell: 73.9
Crystal system: cubic
Total moment, Bohr magnetons per cell: 1.3

Most stable: entry A (next structure +0.147 eV/atom)

Entry A
The following is a DFT calculation (SCAN) of a crystal of ZrSc2Ir relaxed with PBEsol.

abc: 3.1839 3.1839 7.6422
angles: 90.00 90.00 90.00
Element x y z (fractional)
Zr 0.0000 0.0000 0.0000
Sc 0.5000 0.5000 0.2923
Sc 0.5000 0.5000 0.7077
Ir 0.0000 0.0000 0.5000

Values from the calculation:
Volume, Å³ per cell: 77.5
Crystal system: tetragonal
Total moment, Bohr magnetons per cell: 0.0

Entry B
The following is a DFT calculation (SCAN) of a crystal of ZrSc2Ir relaxed with PBEsol.

abc: 5.7340 5.7340 5.7340
angles: 146.25 131.63 60.28
Element x y z (fractional)
Zr 0.0000 0.0000 0.0000
Sc 0.2853 0.7853 0.5000
Sc 0.7147 0.2147 0.5000
Ir 0.5000 0.5000 0.0000

Values from the calculation:
Volume, Å³ per cell: 77.6
Crystal system: orthorhombic
Total moment, Bohr magnetons per cell: 0.0

Entry C
The following is a DFT calculation (SCAN) of a crystal of ZrSc2Ir relaxed with PBEsol.

abc: 3.2885 3.2885 7.4157
angles: 90.00 90.00 90.00
Element x y z (fractional)
Zr 0.0000 0.0000 0.0000
Sc 0.0000 0.0000 0.4154
Sc 0.5000 0.5000 0.7314
Ir 0.5000 0.5000 0.2184

Values from the calculation:
Volume, Å³ per cell: 80.2
Crystal system: tetragonal
Total moment, Bohr magnetons per cell: 0.0

Most stable: entry B (next structure +0.056 eV/atom)

Entry A
The following is a DFT calculation (SCAN) of a crystal of Zr2ScIr relaxed with PBEsol.

abc: 5.6550 5.6550 5.6550
angles: 145.27 130.27 62.08
Element x y z (fractional)
Zr 0.2217 0.2217 0.0000
Zr 0.7783 0.7783 0.0000
Sc 0.5000 0.0000 0.5000
Ir 0.0000 0.5000 0.5000

Values from the calculation:
Volume, Å³ per cell: 77.8
Crystal system: orthorhombic
Total moment, Bohr magnetons per cell: 0.0

Entry B
The following is a DFT calculation (SCAN) of a crystal of Zr2ScIr relaxed with PBEsol.

abc: 5.6590 5.6590 5.6590
angles: 145.49 130.43 61.80
Element x y z (fractional)
Zr 0.0000 0.0000 0.0000
Zr 0.7248 0.2248 0.5000
Sc 0.4450 0.4450 0.0000
Ir 0.2217 0.7217 0.5000

Values from the calculation:
Volume, Å³ per cell: 77.3
Crystal system: orthorhombic
Total moment, Bohr magnetons per cell: 0.0

Most stable: entry A (next structure +0.027 eV/atom)

Entry A
The following is a DFT calculation (SCAN) of a crystal of Zr2ScIr relaxed with PBEsol.

abc: 3.1090 4.5000 5.7001
angles: 90.00 105.94 90.00
Element x y z (fractional)
Zr 0.2109 0.0000 0.2703
Zr 0.7891 0.0000 0.7297
Sc 0.5000 0.5000 0.0000
Ir 0.0000 0.5000 0.5000

Values from the calculation:
Volume, Å³ per cell: 76.7
Crystal system: monoclinic
Total moment, Bohr magnetons per cell: 0.0

Entry B
The following is a DFT calculation (SCAN) of a crystal of Zr2ScIr relaxed with PBEsol.

abc: 4.7120 4.7120 4.7120
angles: 60.00 60.00 60.00
Element x y z (fractional)
Zr 0.0000 0.0000 0.0000
Zr 0.2500 0.2500 0.2500
Sc 0.7500 0.7500 0.7500
Ir 0.5000 0.5000 0.5000

Values from the calculation:
Volume, Å³ per cell: 74.0
Crystal system: cubic
Total moment, Bohr magnetons per cell: 2.6

Entry C
The following is a DFT calculation (SCAN) of a crystal of Zr2ScIr relaxed with PBEsol.

abc: 3.2515 4.7307 4.8443
angles: 90.00 90.00 90.00
Element x y z (fractional)
Zr 0.0000 0.0000 0.0000
Zr 0.5000 0.5000 0.0000
Sc 0.0000 0.5000 0.5000
Ir 0.5000 0.0000 0.5000

Values from the calculation:
Volume, Å³ per cell: 74.5
Crystal system: orthorhombic
Total moment, Bohr magnetons per cell: 0.0

Entry D
The following is a DFT calculation (SCAN) of a crystal of Zr2ScIr relaxed with PBEsol.

abc: 3.2546 3.2546 7.3778
angles: 90.00 90.00 90.00
Element x y z (fractional)
Zr 0.0000 0.0000 0.0000
Zr 0.5000 0.5000 0.2780
Sc 0.5000 0.5000 0.7076
Ir 0.0000 0.0000 0.4922

Values from the calculation:
Volume, Å³ per cell: 78.1
Crystal system: tetragonal
Total moment, Bohr magnetons per cell: 0.5

Most stable: entry D (next structure +0.098 eV/atom)

Entry A
The following is a DFT calculation (SCAN) of a crystal of SiIr2Se relaxed with PBEsol.

abc: 2.7797 4.2827 4.9808
angles: 90.00 90.00 90.00
Element x y z (fractional)
Si 0.0000 0.0000 0.0000
Ir 0.0000 0.5000 0.5000
Ir 0.5000 0.5000 0.0000
Se 0.5000 0.0000 0.5000

Values from the calculation:
Volume, Å³ per cell: 59.3
Crystal system: orthorhombic
Total moment, Bohr magnetons per cell: 0.0

Entry B
The following is a DFT calculation (SCAN) of a crystal of SiIr2Se relaxed with PBEsol.

abc: 7.5307 7.5307 7.5307
angles: 158.06 157.34 31.75
Element x y z (fractional)
Si 0.0000 0.0000 0.0000
Ir 0.1345 0.6345 0.5000
Ir 0.4122 0.4122 0.0000
Se 0.7524 0.2524 0.5000

Values from the calculation:
Volume, Å³ per cell: 61.4
Crystal system: orthorhombic
Total moment, Bohr magnetons per cell: 0.0

Most stable: entry B (next structure +0.412 eV/atom)

Entry A
The following is a DFT calculation (SCAN) of a crystal of TaIrSe2 relaxed with PBEsol.

abc: 6.3690 6.3690 4.3941
angles: 97.09 97.09 28.51
Element x y z (fractional)
Ta 0.0000 0.0000 0.0000
Ir 0.5000 0.5000 0.5000
Se 0.3397 0.3397 0.7796
Se 0.6603 0.6603 0.2204

Values from the calculation:
Volume, Å³ per cell: 84.4
Crystal system: monoclinic
Total moment, Bohr magnetons per cell: 0.0

Entry B
The following is a DFT calculation (SCAN) of a crystal of TaIrSe2 relaxed with PBEsol.

abc: 8.3306 8.3306 8.3306
angles: 23.11 23.11 23.11
Element x y z (fractional)
Ta 0.0000 0.0000 0.0000
Ir 0.5000 0.5000 0.5000
Se 0.1038 0.1038 0.1038
Se 0.8962 0.8962 0.8962

Values from the calculation:
Volume, Å³ per cell: 78.2
Crystal system: trigonal
Total moment, Bohr magnetons per cell: 0.0

Most stable: entry A (next structure +0.661 eV/atom)

Entry A
The following is a DFT calculation (SCAN) of a crystal of TiIrSe2 relaxed with PBEsol.

abc: 4.4414 4.4414 4.4414
angles: 60.00 60.00 60.00
Element x y z (fractional)
Ti 0.0000 0.0000 0.0000
Ir 0.5000 0.5000 0.5000
Se 0.2500 0.2500 0.2500
Se 0.7500 0.7500 0.7500

Values from the calculation:
Volume, Å³ per cell: 61.9
Crystal system: cubic
Total moment, Bohr magnetons per cell: 0.0

Entry B
The following is a DFT calculation (SCAN) of a crystal of TiIrSe2 relaxed with PBEsol.

abc: 8.2119 8.2119 8.2119
angles: 148.96 148.96 44.47
Element x y z (fractional)
Ti 0.0000 0.0000 0.0000
Ti 0.7500 0.2500 0.5000
Ir 0.2500 0.7500 0.5000
Ir 0.5000 0.5000 0.0000
Se 0.1290 0.6250 0.0040
Se 0.3750 0.3790 0.5040
Se 0.6210 0.1250 0.9960
Se 0.8750 0.8710 0.4960

Values from the calculation:
Volume, Å³ per cell: 146.8
Crystal system: tetragonal
Total moment, Bohr magnetons per cell: 0.0

Most stable: entry B (next structure +0.226 eV/atom)

Entry A
The following is a DFT calculation (SCAN) of a crystal of TlIr2Se relaxed with PBEsol.

abc: 8.5100 8.5100 8.5100
angles: 20.63 20.63 20.63
Element x y z (fractional)
Tl 0.0000 0.0000 0.0000
Ir 0.2428 0.2428 0.2428
Ir 0.7572 0.7572 0.7572
Se 0.5000 0.5000 0.5000

Values from the calculation:
Volume, Å³ per cell: 67.0
Crystal system: trigonal
Total moment, Bohr magnetons per cell: 0.0

Entry B
The following is a DFT calculation (SCAN) of a crystal of TlIr2Se relaxed with PBEsol.

abc: 2.9418 2.9418 8.4577
angles: 90.00 90.00 90.00
Element x y z (fractional)
Tl 0.0000 0.0000 0.0000
Ir 0.0000 0.0000 0.4640
Ir 0.5000 0.5000 0.2546
Se 0.5000 0.5000 0.6432

Values from the calculation:
Volume, Å³ per cell: 73.2
Crystal system: tetragonal
Total moment, Bohr magnetons per cell: 0.0

Most stable: entry B (next structure +0.171 eV/atom)